# La4TmCd3

A geometry-optimized La4TmCd3 structure (PBE, Alexandria).

Cell: 3.8374 5.6751 11.4496 Å, 90.00 90.00 90.00°
Positions (direct):
1 La 0.0000 0.0000 0.0000
2 La 0.0000 0.0000 0.5000
3 La 0.0000 0.5000 0.2411
4 La 0.0000 0.5000 0.7589
5 Tm 0.5000 0.5000 0.5000
6 Cd 0.5000 0.0000 0.2558
7 Cd 0.5000 0.0000 0.7442
8 Cd 0.5000 0.5000 0.0000

Computed properties:
As for the formation enthalpy at 0 K: -0.212 eV per atom.



# Ta2CrCu

A geometry-optimized Ta2CrCu structure (PBE, Alexandria).

Cell: 2.7334 2.7334 8.5225 Å, 90.00 90.00 105.89°
Positions (direct):
1 Ta 0.0000 0.0000 0.0000
2 Ta 0.5000 0.5000 0.2846
3 Cr 0.5000 0.5000 0.7575
4 Cu 0.0000 0.0000 0.5362

Computed properties:
As for the formation enthalpy at 0 K: 0.215 eV per atom.



# Pr6InTe5

A geometry-optimized Pr6InTe5 structure (PBE, Alexandria).

Cell: 7.8648 7.8648 7.8707 Å, 99.57 99.57 119.82°
Positions (direct):
1 Pr 0.0815 0.4084 0.7458
2 Pr 0.2446 0.2446 0.2542
3 Pr 0.4084 0.0815 0.7458
4 Pr 0.5916 0.9185 0.2542
5 Pr 0.7554 0.7554 0.7458
6 Pr 0.9185 0.5916 0.2542
7 In 0.0000 0.0000 0.5000
8 Te 0.1688 0.8312 0.0000
9 Te 0.3337 0.6663 0.5000
10 Te 0.5000 0.5000 0.0000
11 Te 0.6663 0.3337 0.5000
12 Te 0.8312 0.1688 0.0000

Computed properties:
Its formation energy from raw total energies is -1.297 eV/atom.



Number 1: theoretical density 7.07 g cm⁻³. Number 2: theoretical density 12.95 g cm⁻³. Number 3: theoretical density 6.66 g cm⁻³.